Entry 1:
VASP calculation (PBE) on a geometry-optimized KPdS2Cl structure.

Calculated values
The value obtained for the energy relative to the lowest polymorph listed for this composition is 0.0 meV/atom.

Lattice parameters (Å, degrees): 4.727 4.727 5.361 90.00 90.00 90.00
Element x y z (fractional)
K 0.000 0.000 0.000
Pd 0.500 0.500 0.500
S 0.000 0.500 0.500
S 0.500 0.000 0.500
Cl 0.500 0.500 0.000



Entry 2:
VASP calculation (PBE) on a geometry-optimized KPdSCl2 structure.

Calculated values
The value obtained for the energy relative to the lowest polymorph listed for this composition is 1250.0 meV/atom.

Lattice parameters (Å, degrees): 5.717 5.717 5.784 90.00 90.00 90.00
Element x y z (fractional)
K 0.000 0.000 0.000
Pd 0.500 0.500 0.500
S 0.000 0.000 0.500
Cl 0.000 0.500 0.000
Cl 0.500 0.000 0.000



Entry 3:
VASP calculation (PBE) on a geometry-optimized KPdS2Cl structure.

Calculated values
The value obtained for the energy relative to the lowest polymorph listed for this composition is 1381.4 meV/atom.

Lattice parameters (Å, degrees): 5.766 5.766 5.577 90.00 90.00 90.00
Element x y z (fractional)
K 0.000 0.000 0.000
Pd 0.500 0.500 0.500
S 0.000 0.500 0.000
S 0.500 0.000 0.000
Cl 0.000 0.000 0.500



Entry 4:
VASP calculation (PBE) on a geometry-optimized KPdSCl2 structure.

Calculated values
The value obtained for the energy relative to the lowest polymorph listed for this composition is 0.0 meV/atom.

Lattice parameters (Å, degrees): 5.134 5.134 4.640 90.00 90.00 90.00
Element x y z (fractional)
K 0.000 0.000 0.000
Pd 0.500 0.500 0.500
S 0.500 0.500 0.000
Cl 0.000 0.500 0.500
Cl 0.500 0.000 0.500



Entry 5:
VASP calculation (PBE) on a geometry-optimized K2SbPdCl6 structure.

Lattice parameters (Å, degrees): 7.374 7.374 7.376 119.96 119.96 90.04
Element x y z (fractional)
K 0.249 0.751 0.000
K 0.751 0.249 0.000
Sb 0.991 0.991 0.481
Pd 0.491 0.491 0.481
Cl 0.244 0.244 0.479
Cl 0.244 0.244 0.988
Cl 0.244 0.736 0.479
Cl 0.736 0.244 0.479
Cl 0.736 0.736 0.479
Cl 0.738 0.738 0.974



Entry 6:
VASP calculation (PBE) on a geometry-optimized KSc2PdCl structure.

Lattice parameters (Å, degrees): 4.936 4.936 7.880 90.00 90.00 90.00
Element x y z (fractional)
K 0.000 0.000 0.000
Sc 0.000 0.500 0.500
Sc 0.500 0.000 0.500
Pd 0.500 0.500 0.500
Cl 0.500 0.500 0.000



Number 1: formation energy without anion corrections -382 meV per atom, density 3.4 g cm⁻³. Number 2: formation energy without anion corrections 533 meV per atom, density 2.2 g cm⁻³. Number 3: formation energy without anion corrections 999 meV per atom, density 2.2 g cm⁻³. Number 4: formation energy without anion corrections -717 meV per atom, density 3.4 g cm⁻³. Number 5: formation energy without anion corrections -1140 meV per atom, density 3.0 g cm⁻³. Number 6: formation energy without anion corrections -146 meV per atom, density 2.3 g cm⁻³.